Record 1
Entry from Alexandria: crystalline CoSb2Pb at its relaxed geometry (GGA-PBEsol).

Cell and atoms, written as POSCAR:
```
CoSb2Pb
1.0
3.1397 0.0000 0.0000
0.0000 3.1397 0.0000
0.0000 0.0000 9.0079
Co Sb Pb
1 2 1
Direct
0.0000 0.0000 0.0000 Co
0.5000 0.5000 0.1741 Sb
0.5000 0.5000 0.8259 Sb
0.0000 0.0000 0.5000 Pb
```

Computed properties:
Final energy: -20.571 eV/f.u.
N(E_F): 2.1 states/eV/cell
Volume: 22.2 Å³/atom
Formation energy without anion corrections: 70 meV/atom
Space group: P4/mmm
Magnetic moment: 0.0 μB per formula unit


Record 2
Entry from Alexandria: crystalline LiPb2 at its relaxed geometry (GGA-PBEsol).

Cell and atoms, written as POSCAR:
```
LiPb2
1.0
-1.8015 2.2826 4.7774
1.8015 -2.2826 4.7774
1.8015 2.2826 -4.7774
Li Pb
1 2
Direct
0.0000 0.0000 0.0000 Li
0.3311 0.3311 0.0000 Pb
0.6689 0.6689 0.0000 Pb
```

Computed properties:
Final energy: -10.455 eV/f.u.
N(E_F): 1.0 states/eV/cell
Volume: 26.2 Å³/atom
Offset from the most stable computed form: 1 meV per atom
Space group: Immm
Magnetic moment: 0.0 μB per formula unit


Record 3
Entry from Alexandria: crystalline OsRh2Br at its relaxed geometry (GGA-PBEsol).

Cell and atoms, written as POSCAR:
```
OsRh2Br
1.0
2.7158 -3.8849 0.0000
2.7158 3.8849 0.0000
0.0000 0.0000 2.7826
Os Rh Br
1 2 1
Direct
0.0000 0.0000 0.0000 Os
0.0000 0.5000 0.5000 Rh
0.5000 0.0000 0.5000 Rh
0.5000 0.5000 0.0000 Br
```

Computed properties:
Final energy: -27.117 eV/f.u.
N(E_F): 4.8 states/eV/cell
Volume: 14.7 Å³/atom
Formation energy without anion corrections: 811 meV/atom
Offset from the most stable computed form: 365 meV per atom
Space group: Cmmm
Magnetic moment: 0.0 μB per formula unit